A relaxed structure of LiNbFeO4, computed with GGA+U.

Cell and atoms, written as extended XYZ:
```
28
Lattice="-1.159 -1.069 6.106 0.380 -6.212 -1.015 8.188 0.240 1.596" Properties=species:S:1:pos:R:3 pbc="T T T"
O 3.938 -0.269 2.206
O 1.456 -1.961 3.358
O -0.001 -3.516 0.912
O 1.799 -5.255 2.847
O 7.430 -3.847 5.722
O 3.108 -0.850 5.448
O 8.187 -6.077 1.996
O 1.107 -2.416 6.147
O 3.458 -3.641 5.004
O 6.509 -4.618 0.579
O 1.104 -5.763 5.561
O 3.931 -3.078 1.735
O -0.416 -6.885 3.723
O 6.098 -1.284 1.085
O 5.811 -5.083 3.301
O 5.751 -1.782 3.867
Li -0.306 -5.010 2.322
Li 6.007 -3.225 2.396
Li 1.402 -3.816 4.290
Li 3.621 -2.151 3.567
Nb 4.202 -1.646 0.509
Nb 0.272 -4.446 -0.726
Nb 1.218 -0.705 4.769
Nb 5.811 -0.124 2.932
Fe 0.834 -1.738 1.436
Fe 4.528 -5.362 4.852
Fe 6.379 -2.108 5.773
Fe 3.077 -4.873 1.313
```

E above lowest polymorph (kJ/mol of atoms): 0.0
Magnetic moment (μB per formula unit): 4.00
SG: P4_322 (95)
N(E_F) (states/eV/f.u.): 0.000
E (eV/atom): -7.522